Below is crystalline ReTcP2 at its relaxed geometry, with properties calculated at the PBE level.

energy of formation from the pure elements	-25.5	kJ/mol of atoms
energy relative to the lowest polymorph listed for this composition	29.6	meV per atom
total energy	-8.67	eV per atom

Cell: 3.105 3.105 5.628 Å, 90.00 90.00 90.00°
Space group P4mm (No. 99)
Asymmetric unit:
Re 0.000 0.000 0.000 [1 per cell]
Tc 0.500 0.500 0.385 [1 per cell]
P 0.000 0.000 0.557 [1 per cell]
P 0.500 0.500 0.826 [1 per cell]



Below is crystalline ScWBr2 at its relaxed geometry, with properties calculated at the PBE level.

E_form (uncorrected)	655	meV/atom
energy relative to the lowest polymorph listed for this composition	986.1	meV per atom
total energy	-5.00	eV per atom

Cell: 3.892 3.892 10.985 Å, 90.00 90.00 90.00°
Space group I-4m2 (No. 119)
Asymmetric unit:
Sc 0.000 0.000 0.000 [2 per cell]
W 0.000 0.500 0.750 [2 per cell]
Br 0.000 0.000 0.500 [2 per cell]
Br 0.000 0.500 0.250 [2 per cell]



Below is crystalline FePBr2 at its relaxed geometry, with properties calculated at the PBE level.

E_form (uncorrected)	411	meV/atom
energy relative to the lowest polymorph listed for this composition	458.9	meV per atom
total energy	-3.89	eV per atom

Cell: 3.4917 3.4917 25.4468 Å, 90.00 90.00 120.00°
Space group R-3m (No. 166, hexagonal axes)
Asymmetric unit:
Fe 0.0000 0.0000 0.0000 [3 per cell]
P 0.0000 0.0000 0.5000 [3 per cell]
Br 0.0000 0.0000 0.3969 [6 per cell]



Below is crystalline SmHoSnPt at its relaxed geometry, with properties calculated at the PBE level.

energy of formation from the pure elements	-79.7	kJ/mol of atoms
total energy	-5.66	eV per atom

Cell: 7.341 7.341 7.341 Å, 90.00 90.00 90.00°
Space group F-43m (No. 216)
Asymmetric unit:
Sm 0.000 0.000 0.000 [4 per cell]
Ho 0.000 0.000 0.500 [4 per cell]
Sn 0.250 0.250 0.250 [4 per cell]
Pt 0.250 0.250 0.750 [4 per cell]



Below is crystalline BaMgSc2 at its relaxed geometry, with properties calculated at the PBE level.

energy of formation from the pure elements	35.0	kJ/mol of atoms
total energy	-3.68	eV per atom

Cell: 3.3810 3.3810 35.6480 Å, 90.00 90.00 120.00°
Space group R-3m (No. 166, hexagonal axes)
Asymmetric unit:
Ba 0.0000 0.0000 0.0000 [3 per cell]
Mg 0.0000 0.0000 0.5000 [3 per cell]
Sc 0.0000 0.0000 0.0962 [6 per cell]



Below is crystalline NpHgPdAu at its relaxed geometry, with properties calculated at the PBE level.

energy of formation from the pure elements	-2.5	kJ/mol of atoms
total energy	-5.45	eV per atom

Cell: 6.988 6.988 6.988 Å, 90.00 90.00 90.00°
Space group F-43m (No. 216)
Asymmetric unit:
Np 0.000 0.000 0.000 [4 per cell]
Hg 0.250 0.250 0.250 [4 per cell]
Pd 0.000 0.000 0.500 [4 per cell]
Au 0.250 0.250 0.750 [4 per cell]



Below is crystalline Mg4Pd7Pt at its relaxed geometry, with properties calculated at the PBE level.

energy of formation from the pure elements	-24.9	kJ/mol of atoms
energy relative to the lowest polymorph listed for this composition	289.3	meV per atom
total energy	-4.32	eV per atom

Cell: 10.441 4.911 9.487 Å, 90.00 118.79 90.00°
Space group C2/m (No. 12)
Asymmetric unit:
Mg 0.089 0.000 0.273 [4 per cell]
Mg 0.239 0.500 0.167 [4 per cell]
Pd 0.000 0.000 0.500 [2 per cell]
Pd 0.064 0.500 0.826 [4 per cell]
Pd 0.138 0.000 0.020 [4 per cell]
Pd 0.213 0.500 0.424 [4 per cell]
Pt 0.000 0.500 0.500 [2 per cell]



Below is crystalline CdFeW2 at its relaxed geometry, with properties calculated at the PBE level.

energy of formation from the pure elements	53.9	kJ/mol of atoms
total energy	-8.26	eV per atom

Cell: 3.830 3.830 8.632 Å, 90.00 90.00 90.00°
Space group I4/mmm (No. 139)
Asymmetric unit:
Cd 0.000 0.000 0.000 [2 per cell]
Fe 0.000 0.000 0.500 [2 per cell]
W 0.000 0.500 0.250 [4 per cell]



Below is crystalline Cs3BeBr5 at its relaxed geometry, with properties calculated at the PBE level.

E_form (uncorrected)	-1584	meV/atom
total energy	-3.21	eV per atom

Cell: 9.876 9.876 14.736 Å, 90.00 90.00 90.00°
Space group I4/mcm (No. 140)
Asymmetric unit:
Cs 0.000 0.000 0.250 [4 per cell]
Cs 0.168 0.332 0.000 [8 per cell]
Be 0.000 0.500 0.250 [4 per cell]
Br 0.000 0.000 0.000 [4 per cell]
Br 0.129 0.371 0.337 [16 per cell]



Below is crystalline Rb2HNF6 at its relaxed geometry, with properties calculated at the PBE level.

energy relative to the lowest polymorph listed for this composition	0.0	meV per atom
total energy	-4.04	eV per atom

Cell: 7.863 9.536 5.673 Å, 90.00 130.12 90.00°
Space group Cm (No. 8)
Asymmetric unit:
Rb 0.000 0.224 0.000 [4 per cell]
H 0.388 0.500 0.397 [2 per cell]
N 0.007 0.500 0.506 [2 per cell]
F 0.026 0.304 0.524 [4 per cell]
F 0.322 0.500 0.150 [2 per cell]
F 0.339 0.000 0.529 [2 per cell]
F 0.381 0.000 0.185 [2 per cell]
F 0.450 0.500 0.648 [2 per cell]



Below is crystalline Ba3Na2Sr7 at its relaxed geometry, with properties calculated at the PBE level.

energy of formation from the pure elements	5.4	kJ/mol of atoms
total energy	-1.63	eV per atom

Cell: 7.219 4.268 21.623 Å, 90.00 92.47 90.00°
Space group P2/m (No. 10)
Asymmetric unit:
Ba 0.000 0.000 0.000 [1 per cell]
Ba 0.235 0.500 0.352 [2 per cell]
Na 0.262 0.000 0.702 [2 per cell]
Sr 0.129 0.500 0.838 [2 per cell]
Sr 0.255 0.000 0.537 [2 per cell]
Sr 0.366 0.000 0.167 [2 per cell]
Sr 0.500 0.500 0.000 [1 per cell]



Below is crystalline Be2HgB at its relaxed geometry, with properties calculated at the PBE level.

energy of formation from the pure elements	55.7	kJ/mol of atoms
energy relative to the lowest polymorph listed for this composition	0.0	meV per atom
total energy	-3.03	eV per atom

Cell: 4.047 4.047 12.665 Å, 90.00 90.00 90.00°
Space group I4_1/amd (No. 141, origin choice 2)
Asymmetric unit:
Be 0.000 0.000 0.000 [8 per cell]
Hg 0.000 0.250 0.375 [4 per cell]
B 0.000 0.250 0.875 [4 per cell]



Below is crystalline CaHg2Bi at its relaxed geometry, with properties calculated at the PBE level.

energy of formation from the pure elements	-37.5	kJ/mol of atoms
total energy	-2.01	eV per atom

Cell: 4.635 4.635 5.060 Å, 90.00 90.00 90.00°
Space group P4/mmm (No. 123)
Asymmetric unit:
Ca 0.000 0.000 0.000 [1 per cell]
Hg 0.000 0.500 0.500 [2 per cell]
Bi 0.500 0.500 0.000 [1 per cell]



Below is crystalline Mn5ReB2W2 at its relaxed geometry, with properties calculated at the PBE level.

energy of formation from the pure elements	-22.6	kJ/mol of atoms
total energy	-9.99	eV per atom

Cell: 8.718 8.718 2.921 Å, 90.00 90.00 90.00°
Space group P4/mbm (No. 127)
Asymmetric unit:
Mn 0.000 0.500 0.000 [2 per cell]
Mn 0.070 0.217 0.000 [8 per cell]
Re 0.000 0.000 0.500 [2 per cell]
B 0.120 0.380 0.500 [4 per cell]
W 0.176 0.676 0.500 [4 per cell]



Below is crystalline Ac3CuP at its relaxed geometry, with properties calculated at the PBE level.

energy of formation from the pure elements	-11.3	kJ/mol of atoms
total energy	-4.48	eV per atom

Cell: 5.819 5.819 5.819 Å, 90.00 90.00 90.00°
Space group Pm-3m (No. 221)
Asymmetric unit:
Ac 0.000 0.000 0.500 [3 per cell]
Cu 0.500 0.500 0.500 [1 per cell]
P 0.000 0.000 0.000 [1 per cell]



Below is crystalline La6Cd3Cu at its relaxed geometry, with properties calculated at the PBE level.

energy of formation from the pure elements	-18.9	kJ/mol of atoms
total energy	-3.84	eV per atom

Cell: 9.450 5.508 12.284 Å, 90.00 109.73 90.00°
Space group P2_1/m (No. 11)
Asymmetric unit:
La 0.029 0.250 0.416 [2 per cell]
La 0.168 0.750 0.164 [2 per cell]
La 0.267 0.250 0.004 [2 per cell]
La 0.367 0.750 0.828 [2 per cell]
La 0.369 0.250 0.352 [2 per cell]
La 0.411 0.250 0.639 [2 per cell]
Cd 0.030 0.750 0.868 [2 per cell]
Cd 0.105 0.250 0.720 [2 per cell]
Cd 0.264 0.750 0.469 [2 per cell]
Cu 0.453 0.750 0.096 [2 per cell]



Below is crystalline KScPt at its relaxed geometry, with properties calculated at the PBE level.

energy of formation from the pure elements	-27.8	kJ/mol of atoms
energy relative to the lowest polymorph listed for this composition	102.0	meV per atom
total energy	-4.78	eV per atom

Cell: 3.8825 3.8825 7.2804 Å, 90.00 90.00 120.00°
Space group P3m1 (No. 156)
Asymmetric unit:
K 0.0000 0.0000 0.0000 [1 per cell]
Sc 0.3333 0.6667 0.5059 [1 per cell]
Pt 0.6667 0.3333 0.3321 [1 per cell]



Below is crystalline Ho7SnS5 at its relaxed geometry, with properties calculated at the PBE level.

E_form (uncorrected)	-1659	meV/atom
total energy	-6.02	eV per atom

Cell: 3.920 12.912 23.292 Å, 90.00 90.00 90.00°
Space group Cmcm (No. 63)
Asymmetric unit:
Ho 0.000 0.015 0.250 [4 per cell]
Ho 0.000 0.137 0.536 [8 per cell]
Ho 0.000 0.324 0.173 [8 per cell]
Ho 0.000 0.406 0.612 [8 per cell]
Sn 0.000 0.304 0.750 [4 per cell]
S 0.000 0.044 0.639 [8 per cell]
S 0.000 0.226 0.070 [8 per cell]
S 0.000 0.500 0.000 [4 per cell]



Below is crystalline Cr2HgB2 at its relaxed geometry, with properties calculated at the PBE level.

energy of formation from the pure elements	67.4	kJ/mol of atoms
energy relative to the lowest polymorph listed for this composition	83.8	meV per atom
total energy	-5.88	eV per atom

Cell: 6.529 6.529 2.700 Å, 90.00 90.00 90.00°
Space group P4/mbm (No. 127)
Asymmetric unit:
Cr 0.117 0.383 0.000 [4 per cell]
Hg 0.000 0.000 0.000 [2 per cell]
B 0.166 0.666 0.500 [4 per cell]



Below is crystalline Li2VAg2 at its relaxed geometry, with properties calculated at the PBE level.

energy of formation from the pure elements	16.4	kJ/mol of atoms
total energy	-3.56	eV per atom

Cell: 7.335 7.335 2.932 Å, 90.00 90.00 90.00°
Space group P4/mbm (No. 127)
Asymmetric unit:
Li 0.122 0.378 0.000 [4 per cell]
V 0.000 0.000 0.000 [2 per cell]
Ag 0.180 0.680 0.500 [4 per cell]



Below is crystalline PrScAlPt2 at its relaxed geometry, with properties calculated at the PBE level.

energy of formation from the pure elements	-104.8	kJ/mol of atoms
total energy	-6.47	eV per atom

Cell: 4.192 4.192 12.006 Å, 90.00 90.00 90.00°
Space group I-4m2 (No. 119)
Asymmetric unit:
Pr 0.000 0.000 0.000 [2 per cell]
Sc 0.000 0.500 0.750 [2 per cell]
Al 0.000 0.500 0.250 [2 per cell]
Pt 0.000 0.000 0.386 [4 per cell]



Below is crystalline Ti6Co2Ge at its relaxed geometry, with properties calculated at the PBE level.

energy of formation from the pure elements	-27.5	kJ/mol of atoms
total energy	-7.64	eV per atom

Cell: 7.938 8.370 8.375 Å, 90.00 90.00 90.00°
Space group Immm (No. 71)
Asymmetric unit:
Ti 0.000 0.223 0.182 [8 per cell]
Ti 0.192 0.218 0.500 [8 per cell]
Ti 0.216 0.500 0.254 [8 per cell]
Co 0.000 0.000 0.359 [4 per cell]
Co 0.149 0.000 0.000 [4 per cell]
Ge 0.000 0.500 0.000 [2 per cell]
Ge 0.000 0.500 0.500 [2 per cell]



Below is crystalline Bi2NO at its relaxed geometry, with properties calculated at the PBE level.

E_form (uncorrected)	467	meV/atom
energy relative to the lowest polymorph listed for this composition	404.3	meV per atom
total energy	-4.79	eV per atom

Cell: 6.376 6.376 6.376 Å, 90.00 90.00 90.00°
Space group Fm-3m (No. 225)
Asymmetric unit:
Bi 0.250 0.250 0.250 [8 per cell]
N 0.000 0.000 0.000 [4 per cell]
O 0.000 0.000 0.500 [4 per cell]



| no. | D(E_F) (states/eV/cell) |
| --- | --- |
| 1 | 0.85 |
| 2 | 8.07 |
| 3 | 10.37 |
| 4 | 6.59 |
| 5 | 17.51 |
| 6 | 53.23 |
| 7 | 17.65 |
| 8 | 5.62 |
| 9 | 0.00 |
| 10 | 0.00 |
| 11 | 14.04 |
| 12 | 5.41 |
| 13 | 0.84 |
| 14 | 11.14 |
| 15 | 8.59 |
| 16 | 22.22 |
| 17 | 1.18 |
| 18 | 28.64 |
| 19 | 5.64 |
| 20 | 4.62 |
| 21 | 9.27 |
| 22 | 56.50 |
| 23 | 6.16 |